(1)
HfZn3Cr | PBE | relaxed

## Properties
- V: 91.1 Å³ per cell
- E: -0.1441 hartree per atom
- DOS at the Fermi energy: 1.4 states/eV per cell
- Excess energy over the best structure of this formula in the dataset: 0.000 eV/f.u.

```
data_HfZn3Cr
_cell_length_a 4.500
_cell_length_b 4.500
_cell_length_c 4.500
_cell_angle_alpha 90.00
_cell_angle_beta 90.00
_cell_angle_gamma 90.00
_space_group_name_H-M_alt 'P m -3 m'
_space_group_IT_number 221
_space_group_name_Hall '-P 4 2 3'
loop_
_atom_site_label
_atom_site_type_symbol
_atom_site_fract_x
_atom_site_fract_y
_atom_site_fract_z
Hf1 Hf 0.000 0.000 0.000
Zn1 Zn 0.000 0.500 0.500
Cr1 Cr 0.500 0.500 0.500
```

---

(2)
NaLi | PBE | relaxed

## Properties
- V: 469.2 Å³ per cell
- E: -0.0564 hartree per atom
- DOS at the Fermi energy: 10.3 states/eV per cell
- Excess energy over the best structure of this formula in the dataset: 0.082 eV/f.u.

```
data_NaLi
_cell_length_a 11.972
_cell_length_b 11.972
_cell_length_c 3.273
_cell_angle_alpha 90.00
_cell_angle_beta 90.00
_cell_angle_gamma 90.00
_space_group_name_H-M_alt 'I 4/m'
_space_group_IT_number 87
_space_group_name_Hall '-I 4'
loop_
_atom_site_label
_atom_site_type_symbol
_atom_site_fract_x
_atom_site_fract_y
_atom_site_fract_z
Na1 Na 0.120 0.174 0.000
Li1 Li 0.074 0.628 0.000
```

---

(3)
ReSiBr2 | PBE | relaxed

## Properties
- V: 114.5 Å³ per cell
- E: -0.1830 hartree per atom
- DOS at the Fermi energy: 2.0 states/eV per cell
- Excess energy over the best structure of this formula in the dataset: 0.755 eV/f.u.

```
data_ReSiBr2
_cell_length_a 4.670
_cell_length_b 3.333
_cell_length_c 7.714
_cell_angle_alpha 90.00
_cell_angle_beta 107.46
_cell_angle_gamma 90.00
_space_group_name_H-M_alt 'P 1 2/m 1'
_space_group_IT_number 10
loop_
_space_group_symop_operation_xyz
'x,y,z'
'-x,-y,-z'
'-x,y,-z'
'x,-y,z'
loop_
_atom_site_label
_atom_site_type_symbol
_atom_site_fract_x
_atom_site_fract_y
_atom_site_fract_z
Re1 Re 0.000 0.000 0.000
Si1 Si 0.500 0.000 0.000
Br1 Br 0.136 0.500 0.273
```

---

(4)
NdZn11Ni | PBE | relaxed

## Properties
- V: 408.1 Å³ per cell
- E: -0.0775 hartree per atom
- DOS at the Fermi energy: 8.4 states/eV per cell

```
data_NdZn11Ni
_cell_length_a 5.001
_cell_length_b 12.795
_cell_length_c 6.820
_cell_angle_alpha 90.00
_cell_angle_beta 110.72
_cell_angle_gamma 90.00
_space_group_name_H-M_alt 'C 1 2/m 1'
_space_group_IT_number 12
loop_
_space_group_symop_operation_xyz
'x,y,z'
'-x,-y,-z'
'-x,y,-z'
'x,-y,z'
'x+1/2,y+1/2,z'
'-x+1/2,-y+1/2,-z'
'-x+1/2,y+1/2,-z'
'x+1/2,-y+1/2,z'
loop_
_atom_site_label
_atom_site_type_symbol
_atom_site_fract_x
_atom_site_fract_y
_atom_site_fract_z
Nd1 Nd 0.000 0.000 0.000
Zn1 Zn 0.000 0.000 0.500
Zn2 Zn 0.105 0.392 0.225
Zn3 Zn 0.192 0.173 0.362
Zn4 Zn 0.250 0.250 0.000
Ni1 Ni 0.000 0.500 0.500
```